1.
First-principles (GGA-PBE) data for a relaxed structure of K3BaHg, as listed in Alexandria.

Output
Calculated density (g cm⁻³): 1.26
N(E_F) (states/eV per cell): 3.966
Total moment (μB/f.u.): 1.012
Crystal system: cubic
E_form (eV/atom): 0.48
Relative energy among the computed polymorphs (kJ per mole of atoms): 42.5
Final energy (eV/atom): -0.626

a = 8.433 Å, b = 8.433 Å, c = 8.433 Å
α = 90.00°, β = 90.00°, γ = 90.00°
Element x y z (fractional)
K1 0.000 0.000 0.500
K2 0.000 0.500 0.000
K3 0.500 0.000 0.000
Ba1 0.000 0.000 0.000
Hg1 0.500 0.500 0.500

***

2.
First-principles (GGA-PBE) data for a relaxed structure of TlMo2Os, as listed in Alexandria.

Output
Calculated density (g cm⁻³): 12.53
N(E_F) (states/eV per cell): 25.418
Total moment (μB/f.u.): 0.000
Crystal system: tetragonal
E_form (eV/atom): 0.98
Relative energy among the computed polymorphs (kJ per mole of atoms): 57.5
Final energy (eV/atom): -7.838

a = 7.549 Å, b = 7.549 Å, c = 5.457 Å
α = 90.00°, β = 90.00°, γ = 90.00°
Element x y z (fractional)
Tl1 0.000 0.000 0.000
Tl2 0.000 0.500 0.250
Tl3 0.500 0.000 0.750
Tl4 0.500 0.500 0.500
Mo1 0.192 0.250 0.625
Mo2 0.250 0.692 0.875
Mo3 0.250 0.808 0.375
Mo4 0.308 0.250 0.125
Mo5 0.692 0.750 0.125
Mo6 0.750 0.192 0.375
Mo7 0.750 0.308 0.875
Mo8 0.808 0.750 0.625
Os1 0.000 0.000 0.500
Os2 0.000 0.500 0.750
Os3 0.500 0.000 0.250
Os4 0.500 0.500 0.000

***

3.
First-principles (GGA-PBE) data for a relaxed structure of Tb4Zn3Tc, as listed in Alexandria.

Output
Calculated density (g cm⁻³): 8.62
N(E_F) (states/eV per cell): 7.558
Total moment (μB/f.u.): 0.000
Crystal system: tetragonal
E_form (eV/atom): -0.25
Final energy (eV/atom): -4.336

a = 3.540 Å, b = 3.540 Å, c = 14.305 Å
α = 90.00°, β = 90.00°, γ = 90.00°
Element x y z (fractional)
Tb1 0.000 0.000 0.114
Tb2 0.000 0.000 0.373
Tb3 0.000 0.000 0.627
Tb4 0.000 0.000 0.886
Zn1 0.500 0.500 0.245
Zn2 0.500 0.500 0.500
Zn3 0.500 0.500 0.755
Tc1 0.500 0.500 0.000

***

4.
First-principles (GGA-PBE) data for a relaxed structure of La3YSc, as listed in Alexandria.

Output
Calculated density (g cm⁻³): 5.44
N(E_F) (states/eV per cell): 15.405
Total moment (μB/f.u.): 0.000
Crystal system: orthorhombic
E_form (eV/atom): 0.09
Relative energy among the computed polymorphs (kJ per mole of atoms): 0.0
Final energy (eV/atom): -5.430

a = 10.037 Å, b = 10.037 Å, c = 6.031 Å
α = 90.00°, β = 90.00°, γ = 146.43°
Element x y z (fractional)
La1 0.050 0.950 0.500
La2 0.249 0.751 0.426
La3 0.443 0.557 0.382
La4 0.557 0.443 0.882
La5 0.751 0.249 0.926
La6 0.950 0.050 0.000
Y1 0.354 0.646 0.883
Y2 0.646 0.354 0.383
Sc1 0.148 0.852 0.980
Sc2 0.852 0.148 0.480

***

5.
First-principles (GGA-PBE) data for a relaxed structure of HfScHg2, as listed in Alexandria.

Output
Calculated density (g cm⁻³): 12.05
N(E_F) (states/eV per cell): 7.493
Total moment (μB/f.u.): 1.000
Crystal system: cubic
E_form (eV/atom): -0.18
Relative energy among the computed polymorphs (kJ per mole of atoms): 1.8
Final energy (eV/atom): -4.403

a = 7.008 Å, b = 7.008 Å, c = 7.008 Å
α = 90.00°, β = 90.00°, γ = 90.00°
Element x y z (fractional)
Hf1 0.000 0.000 0.000
Hf2 0.000 0.500 0.500
Hf3 0.500 0.000 0.500
Hf4 0.500 0.500 0.000
Sc1 0.000 0.000 0.500
Sc2 0.000 0.500 0.000
Sc3 0.500 0.000 0.000
Sc4 0.500 0.500 0.500
Hg1 0.250 0.250 0.250
Hg2 0.250 0.250 0.750
Hg3 0.250 0.750 0.250
Hg4 0.250 0.750 0.750
Hg5 0.750 0.250 0.250
Hg6 0.750 0.250 0.750
Hg7 0.750 0.750 0.250
Hg8 0.750 0.750 0.750

***

6.
First-principles (GGA-PBE) data for a relaxed structure of AcTi2AgO6, as listed in Alexandria.

Output
Calculated density (g cm⁻³): 5.43
ΔE_f (raw) (eV per atom): -2.718
N(E_F) (states/eV per cell): 0.000
Total moment (μB/f.u.): 0.000
Crystal system: monoclinic
Final energy (eV/atom): -7.968

a = 7.413 Å, b = 7.413 Å, c = 6.616 Å
α = 106.78°, β = 106.78°, γ = 98.82°
Element x y z (fractional)
Ac1 0.104 0.896 0.750
Ac2 0.896 0.104 0.250
Ti1 0.286 0.429 0.812
Ti2 0.429 0.286 0.312
Ti3 0.571 0.714 0.688
Ti4 0.714 0.571 0.188
Ag1 0.252 0.748 0.250
Ag2 0.748 0.252 0.750
O1 0.090 0.204 0.663
O2 0.162 0.616 0.884
O3 0.204 0.090 0.163
O4 0.349 0.429 0.548
O5 0.384 0.838 0.616
O6 0.429 0.349 0.048
O7 0.571 0.651 0.952
O8 0.616 0.162 0.384
O9 0.651 0.571 0.452
O10 0.796 0.910 0.837
O11 0.838 0.384 0.116
O12 0.910 0.796 0.337

***

7.
First-principles (GGA-PBE) data for a relaxed structure of Ti2MnTc, as listed in Alexandria.

Output
Calculated density (g cm⁻³): 7.31
N(E_F) (states/eV per cell): 15.931
Total moment (μB/f.u.): 0.000
Crystal system: cubic
E_form (eV/atom): -0.35
Relative energy among the computed polymorphs (kJ per mole of atoms): 0.3
Final energy (eV/atom): -9.179

a = 6.091 Å, b = 6.091 Å, c = 6.091 Å
α = 90.00°, β = 90.00°, γ = 90.00°
Element x y z (fractional)
Ti1 0.250 0.250 0.250
Ti2 0.250 0.250 0.750
Ti3 0.250 0.750 0.250
Ti4 0.250 0.750 0.750
Ti5 0.750 0.250 0.250
Ti6 0.750 0.250 0.750
Ti7 0.750 0.750 0.250
Ti8 0.750 0.750 0.750
Mn1 0.000 0.000 0.000
Mn2 0.000 0.500 0.500
Mn3 0.500 0.000 0.500
Mn4 0.500 0.500 0.000
Tc1 0.000 0.000 0.500
Tc2 0.000 0.500 0.000
Tc3 0.500 0.000 0.000
Tc4 0.500 0.500 0.500

***

8.
First-principles (GGA-PBE) data for a relaxed structure of Mn22CoC6, as listed in Alexandria.

Output
Calculated density (g cm⁻³): 7.90
N(E_F) (states/eV per cell): 27.274
Total moment (μB/f.u.): 15.415
Crystal system: cubic
E_form (eV/atom): -0.09
Final energy (eV/atom): -9.202

a = 7.356 Å, b = 7.356 Å, c = 7.356 Å
α = 60.00°, β = 60.00°, γ = 60.00°
Element x y z (fractional)
Mn1 0.000 0.000 0.335
Mn2 0.000 0.000 0.665
Mn3 0.000 0.335 0.000
Mn4 0.000 0.335 0.665
Mn5 0.000 0.665 0.000
Mn6 0.000 0.665 0.335
Mn7 0.146 0.618 0.618
Mn8 0.250 0.250 0.250
Mn9 0.335 0.000 0.000
Mn10 0.335 0.000 0.665
Mn11 0.335 0.665 0.000
Mn12 0.382 0.382 0.382
Mn13 0.382 0.382 0.854
Mn14 0.382 0.854 0.382
Mn15 0.618 0.146 0.618
Mn16 0.618 0.618 0.146
Mn17 0.618 0.618 0.618
Mn18 0.665 0.000 0.000
Mn19 0.665 0.000 0.335
Mn20 0.665 0.335 0.000
Mn21 0.750 0.750 0.750
Mn22 0.854 0.382 0.382
Co1 0.000 0.000 0.000
C1 0.276 0.276 0.724
C2 0.276 0.724 0.276
C3 0.276 0.724 0.724
C4 0.724 0.276 0.276
C5 0.724 0.276 0.724
C6 0.724 0.724 0.276

***

9.
First-principles (GGA-PBE) data for a relaxed structure of YWAu2, as listed in Alexandria.

Output
Calculated density (g cm⁻³): 14.01
N(E_F) (states/eV per cell): 9.705
Total moment (μB/f.u.): 1.820
Crystal system: tetragonal
E_form (eV/atom): 0.20
Relative energy among the computed polymorphs (kJ per mole of atoms): 12.8
Final energy (eV/atom): -6.295

a = 4.157 Å, b = 4.157 Å, c = 9.147 Å
α = 90.00°, β = 90.00°, γ = 90.00°
Element x y z (fractional)
Y1 0.000 0.000 0.000
Y2 0.500 0.500 0.500
W1 0.000 0.500 0.250
W2 0.500 0.000 0.750
Au1 0.000 0.000 0.500
Au2 0.000 0.500 0.750
Au3 0.500 0.000 0.250
Au4 0.500 0.500 0.000

***

10.
First-principles (GGA-PBE) data for a relaxed structure of Li7Tl3Bi, as listed in Alexandria.

Output
Calculated density (g cm⁻³): 5.79
N(E_F) (states/eV per cell): 10.498
Total moment (μB/f.u.): 0.000
Crystal system: orthorhombic
E_form (eV/atom): -0.16
Final energy (eV/atom): -2.380

a = 14.365 Å, b = 14.365 Å, c = 10.651 Å
α = 90.00°, β = 90.00°, γ = 166.88°
Element x y z (fractional)
Li1 0.037 0.963 0.750
Li2 0.046 0.954 0.032
Li3 0.046 0.954 0.468
Li4 0.137 0.863 0.120
Li5 0.137 0.863 0.380
Li6 0.204 0.796 0.590
Li7 0.204 0.796 0.910
Li8 0.796 0.204 0.090
Li9 0.796 0.204 0.410
Li10 0.863 0.137 0.620
Li11 0.863 0.137 0.880
Li12 0.954 0.046 0.532
Li13 0.954 0.046 0.968
Li14 0.963 0.037 0.250
Tl1 0.286 0.714 0.750
Tl2 0.385 0.615 0.108
Tl3 0.385 0.615 0.392
Tl4 0.615 0.385 0.608
Tl5 0.615 0.385 0.892
Tl6 0.714 0.286 0.250
Bi1 0.442 0.558 0.750
Bi2 0.558 0.442 0.250

***

11.
First-principles (GGA-PBE) data for a relaxed structure of BeTl2Br4, as listed in Alexandria.

Output
Calculated density (g cm⁻³): 5.14
ΔE_f (raw) (eV per atom): -0.948
N(E_F) (states/eV per cell): 0.000
Total moment (μB/f.u.): 0.000
Crystal system: monoclinic
Final energy (eV/atom): -3.112

a = 7.048 Å, b = 7.352 Å, c = 9.447 Å
α = 90.00°, β = 103.16°, γ = 90.00°
Element x y z (fractional)
Be1 0.147 0.250 0.291
Be2 0.853 0.750 0.709
Tl1 0.102 0.250 0.899
Tl2 0.320 0.750 0.536
Tl3 0.680 0.250 0.464
Tl4 0.898 0.750 0.101
Br1 0.155 0.750 0.836
Br2 0.173 0.250 0.528
Br3 0.295 0.009 0.229
Br4 0.295 0.491 0.229
Br5 0.705 0.509 0.771
Br6 0.705 0.991 0.771
Br7 0.827 0.750 0.472
Br8 0.845 0.250 0.164

***

12.
First-principles (GGA-PBE) data for a relaxed structure of CeNd2Au8, as listed in Alexandria.

Output
Calculated density (g cm⁻³): 13.34
N(E_F) (states/eV per cell): 11.799
Total moment (μB/f.u.): 1.153
Crystal system: monoclinic
E_form (eV/atom): -0.65
Final energy (eV/atom): -4.442

a = 8.692 Å, b = 8.692 Å, c = 5.252 Å
α = 107.58°, β = 107.58°, γ = 124.41°
Element x y z (fractional)
Ce1 0.000 0.000 0.000
Nd1 0.314 0.686 0.500
Nd2 0.686 0.314 0.500
Au1 0.095 0.358 0.727
Au2 0.200 0.800 0.000
Au3 0.358 0.095 0.727
Au4 0.499 0.499 0.749
Au5 0.501 0.501 0.251
Au6 0.642 0.905 0.273
Au7 0.800 0.200 0.000
Au8 0.905 0.642 0.273